The following is a SCAN calculation of a PBEsol-optimized structure of MgIn2Se4, from Alexandria via LeMat-Bulk.

Cell: 13.485 13.485 13.485 Å, 17.35 17.35 17.35°
Positions (direct):
Mg1 0.000 0.000 0.000
In1 0.237 0.237 0.237
In2 0.763 0.763 0.763
Se1 0.127 0.127 0.127
Se2 0.300 0.300 0.300
Se3 0.700 0.700 0.700
Se4 0.873 0.873 0.873

Computed properties:
Total magnetic moment (μB per cell): 0.0
VASP energy (eV per atom): -22.591
Formation energy without anion corrections (eV per atom): -0.87

---

The following is a SCAN calculation of a PBEsol-optimized structure of ZrAg2Pb, from Alexandria via LeMat-Bulk.

Cell: 4.181 4.181 4.562 Å, 90.00 90.00 90.00°
Positions (direct):
Zr1 0.000 0.000 0.000
Ag1 0.000 0.500 0.500
Ag2 0.500 0.000 0.500
Pb1 0.500 0.500 0.000

Computed properties:
ΔH_f (0 K) (eV per atom): -0.118
Total magnetic moment (μB per cell): 0.0
VASP energy (eV per atom): -42.421

---

The following is a SCAN calculation of a PBEsol-optimized structure of RbLa2HgTe, from Alexandria via LeMat-Bulk.

Cell: 5.820 5.820 6.246 Å, 90.00 90.00 90.00°
Positions (direct):
Rb1 0.000 0.000 0.000
La1 0.000 0.500 0.500
La2 0.500 0.000 0.500
Hg1 0.000 0.000 0.500
Te1 0.500 0.500 0.000

Computed properties:
Total magnetic moment (μB per cell): 0.6
VASP energy (eV per atom): -42.729
Formation energy without anion corrections (eV per atom): -0.26

---

The following is a SCAN calculation of a PBEsol-optimized structure of Mg2AlTl, from Alexandria via LeMat-Bulk.

Cell: 4.322 4.322 9.173 Å, 90.00 90.00 90.00°
Positions (direct):
Mg1 0.000 0.000 0.000
Mg2 0.000 0.500 0.250
Mg3 0.500 0.000 0.750
Mg4 0.500 0.500 0.500
Al1 0.000 0.500 0.750
Al2 0.500 0.000 0.250
Tl1 0.000 0.000 0.500
Tl2 0.500 0.500 0.000

Computed properties:
ΔH_f (0 K) (eV per atom): -0.002
Total magnetic moment (μB per cell): 0.0
VASP energy (eV per atom): -22.517

---

The following is a SCAN calculation of a PBEsol-optimized structure of Tl2SbBr, from Alexandria via LeMat-Bulk.

Cell: 5.429 6.249 3.532 Å, 90.00 90.00 90.00°
Positions (direct):
Tl1 0.000 0.000 0.000
Tl2 0.500 0.500 0.477
Sb1 0.000 0.500 0.980
Br1 0.500 0.000 0.500

Computed properties:
ΔE to the lowest computed polymorph (eV per atom): 0.000
Total magnetic moment (μB per cell): 0.0
VASP energy (eV per atom): -50.656
Formation energy without anion corrections (eV per atom): -0.30

---

The following is a SCAN calculation of a PBEsol-optimized structure of ScBeAlAg2, from Alexandria via LeMat-Bulk.

Cell: 4.404 4.404 4.344 Å, 90.00 90.00 90.00°
Positions (direct):
Sc1 0.000 0.000 0.000
Be1 0.500 0.500 0.500
Al1 0.500 0.500 0.000
Ag1 0.000 0.500 0.500
Ag2 0.500 0.000 0.500

Computed properties:
ΔH_f (0 K) (eV per atom): 0.038
Total magnetic moment (μB per cell): 0.0
VASP energy (eV per atom): -17.778

---

The following is a SCAN calculation of a PBEsol-optimized structure of SnBiBAs2, from Alexandria via LeMat-Bulk.

Cell: 4.570 4.570 4.790 Å, 90.00 90.00 90.00°
Positions (direct):
Sn1 0.000 0.000 0.000
Bi1 0.500 0.500 0.000
B1 0.000 0.000 0.500
As1 0.000 0.500 0.500
As2 0.500 0.000 0.500

Computed properties:
ΔH_f (0 K) (eV per atom): 0.722
Total magnetic moment (μB per cell): 0.0
VASP energy (eV per atom): -31.741

---

The following is a SCAN calculation of a PBEsol-optimized structure of Ba3PdF, from Alexandria via LeMat-Bulk.

Cell: 6.111 6.111 6.111 Å, 90.00 90.00 90.00°
Positions (direct):
Ba1 0.000 0.000 0.500
Ba2 0.000 0.500 0.000
Ba3 0.500 0.000 0.000
Pd1 0.000 0.000 0.000
F1 0.500 0.500 0.500

Computed properties:
Total magnetic moment (μB per cell): 0.0
VASP energy (eV per atom): -31.693
Formation energy without anion corrections (eV per atom): -0.70

---

The following is a SCAN calculation of a PBEsol-optimized structure of Al2CoHg, from Alexandria via LeMat-Bulk.

Cell: 3.935 3.935 7.544 Å, 90.00 90.00 90.00°
Positions (direct):
Al1 0.000 0.500 0.250
Al2 0.000 0.500 0.750
Al3 0.500 0.000 0.250
Al4 0.500 0.000 0.750
Co1 0.000 0.000 0.000
Co2 0.500 0.500 0.500
Hg1 0.000 0.000 0.500
Hg2 0.500 0.500 0.000

Computed properties:
ΔH_f (0 K) (eV per atom): 0.026
ΔE to the lowest computed polymorph (eV per atom): 0.199
Total magnetic moment (μB per cell): 0.0
VASP energy (eV per atom): -25.217

---

The following is a SCAN calculation of a PBEsol-optimized structure of Zr2WAu, from Alexandria via LeMat-Bulk.

Cell: 6.626 6.626 6.626 Å, 90.00 90.00 90.00°
Positions (direct):
Zr1 0.000 0.000 0.000
Zr2 0.000 0.500 0.500
Zr3 0.250 0.250 0.250
Zr4 0.250 0.750 0.750
Zr5 0.500 0.000 0.500
Zr6 0.500 0.500 0.000
Zr7 0.750 0.250 0.750
Zr8 0.750 0.750 0.250
W1 0.000 0.000 0.500
W2 0.000 0.500 0.000
W3 0.500 0.000 0.000
W4 0.500 0.500 0.500
Au1 0.250 0.250 0.750
Au2 0.250 0.750 0.250
Au3 0.750 0.250 0.250
Au4 0.750 0.750 0.750

Computed properties:
ΔH_f (0 K) (eV per atom): 0.081
ΔE to the lowest computed polymorph (eV per atom): 0.267
Total magnetic moment (μB per cell): 0.0
VASP energy (eV per atom): -49.979

---

The following is a SCAN calculation of a PBEsol-optimized structure of Al2TeO, from Alexandria via LeMat-Bulk.

Cell: 6.412 6.412 6.412 Å, 90.00 90.00 90.00°
Positions (direct):
Al1 0.250 0.250 0.250
Al2 0.250 0.250 0.750
Al3 0.250 0.750 0.250
Al4 0.250 0.750 0.750
Al5 0.750 0.250 0.250
Al6 0.750 0.250 0.750
Al7 0.750 0.750 0.250
Al8 0.750 0.750 0.750
Te1 0.000 0.000 0.000
Te2 0.000 0.500 0.500
Te3 0.500 0.000 0.500
Te4 0.500 0.500 0.000
O1 0.000 0.000 0.500
O2 0.000 0.500 0.000
O3 0.500 0.000 0.000
O4 0.500 0.500 0.500

Computed properties:
Total magnetic moment (μB per cell): 0.0
VASP energy (eV per atom): -14.689
Formation energy without anion corrections (eV per atom): 0.06

---

The following is a SCAN calculation of a PBEsol-optimized structure of Na3PRu, from Alexandria via LeMat-Bulk.

Cell: 5.317 5.317 5.317 Å, 90.00 90.00 90.00°
Positions (direct):
Na1 0.000 0.000 0.500
Na2 0.000 0.500 0.000
Na3 0.500 0.000 0.000
P1 0.500 0.500 0.500
Ru1 0.000 0.000 0.000

Computed properties:
ΔH_f (0 K) (eV per atom): 1.176
Total magnetic moment (μB per cell): 4.0
VASP energy (eV per atom): -10.398